The following is a DFT calculation (PBE-GGA) of a geometry-optimized Ac2Nd3Pb4 structure.

a b c (Å): 8.815 8.805 8.585
angles (deg): 90.00 110.86 90.00
Positions (direct):
1 Ac 0.193 0.178 0.062
2 Ac 0.193 0.322 0.562
3 Ac 0.807 0.678 0.438
4 Ac 0.807 0.822 0.938
5 Nd 0.246 0.662 0.242
6 Nd 0.246 0.838 0.742
7 Nd 0.500 0.000 0.500
8 Nd 0.500 0.500 0.000
9 Nd 0.754 0.162 0.258
10 Nd 0.754 0.338 0.758
11 Pb 0.087 0.542 0.841
12 Pb 0.087 0.958 0.341
13 Pb 0.495 0.137 0.863
14 Pb 0.495 0.363 0.363
15 Pb 0.505 0.637 0.637
16 Pb 0.505 0.863 0.137
17 Pb 0.913 0.042 0.659
18 Pb 0.913 0.458 0.159

Properties
Total energy: -4.7588 eV/atom
Volume: 34.594 Å³/atom
N(E_F): 15.70 states/eV/cell
Formation enthalpy at 0 K: -0.61 eV/atom
ρ: 9.15 g/cm3
Energy relative to the lowest polymorph listed for this composition: 0.0 kJ per mole of atoms



The following is a DFT calculation (PBE-GGA) of a geometry-optimized La2MgTi structure.

a b c (Å): 3.436 3.436 9.580
angles (deg): 90.00 90.00 90.00
Positions (direct):
1 La 0.000 0.000 0.233
2 La 0.000 0.000 0.767
3 Mg 0.500 0.500 0.500
4 Ti 0.500 0.500 0.000

Properties
Total energy: -4.6931 eV/atom
Volume: 28.270 Å³/atom
N(E_F): 5.82 states/eV/cell
Formation enthalpy at 0 K: 0.14 eV/atom
ρ: 5.14 g/cm3



The following is a DFT calculation (PBE-GGA) of a geometry-optimized Th7Al5Bi structure.

a b c (Å): 8.257 8.257 6.116
angles (deg): 111.69 111.69 81.31
Positions (direct):
1 Th 0.000 0.000 0.000
2 Th 0.114 0.455 0.783
3 Th 0.381 0.381 0.378
4 Th 0.455 0.114 0.783
5 Th 0.555 0.555 0.048
6 Th 0.631 0.966 0.297
7 Th 0.966 0.631 0.297
8 Al 0.043 0.043 0.543
9 Al 0.285 0.785 0.775
10 Al 0.286 0.783 0.291
11 Al 0.783 0.286 0.291
12 Al 0.785 0.285 0.775
13 Bi 0.699 0.699 0.695

Properties
Total energy: -5.8886 eV/atom
Volume: 27.689 Å³/atom
N(E_F): 12.77 states/eV/cell
Formation enthalpy at 0 K: -0.16 eV/atom
ρ: 9.08 g/cm3



The following is a DFT calculation (PBE-GGA) of a geometry-optimized ThSiPt3 structure.

a b c (Å): 6.272 6.272 6.272
angles (deg): 141.96 141.96 54.89
Positions (direct):
1 Th 0.000 0.000 0.000
2 Si 0.368 0.368 0.000
3 Pt 0.254 0.754 0.500
4 Pt 0.578 0.578 0.000
5 Pt 0.754 0.254 0.500

Properties
Total energy: -7.3212 eV/atom
Volume: 18.607 Å³/atom
N(E_F): 2.50 states/eV/cell
Raw formation energy: -1128 meV per atom
ρ: 15.09 g/cm3
Energy relative to the lowest polymorph listed for this composition: 0.0 kJ per mole of atoms



The following is a DFT calculation (PBE-GGA) of a geometry-optimized NdEuMgAu structure.

a b c (Å): 5.392 5.392 5.392
angles (deg): 60.00 60.00 60.00
Positions (direct):
1 Nd 0.000 0.000 0.000
2 Eu 0.500 0.500 0.500
3 Mg 0.750 0.750 0.750
4 Au 0.250 0.250 0.250

Properties
Total energy: -5.3425 eV/atom
Volume: 27.707 Å³/atom
N(E_F): 7.27 states/eV/cell
Formation enthalpy at 0 K: -0.36 eV/atom
ρ: 7.75 g/cm3



The following is a DFT calculation (PBE-GGA) of a geometry-optimized TcIr3 structure.

a b c (Å): 3.332 3.332 5.396
angles (deg): 90.00 90.00 90.00
Positions (direct):
1 Tc 0.000 0.000 0.000
2 Ir 0.000 0.000 0.500
3 Ir 0.500 0.500 0.251
4 Ir 0.500 0.500 0.749

Properties
Total energy: -8.9497 eV/atom
Volume: 14.978 Å³/atom
N(E_F): 4.87 states/eV/cell
Formation enthalpy at 0 K: 0.29 eV/atom
ρ: 18.70 g/cm3



The following is a DFT calculation (PBE-GGA) of a geometry-optimized NdSm12Dy7 structure.

a b c (Å): 9.934 9.934 9.934
angles (deg): 109.47 109.47 109.47
Positions (direct):
1 Nd 0.000 0.000 0.000
2 Sm 0.000 0.253 0.747
3 Sm 0.000 0.747 0.253
4 Sm 0.253 0.000 0.747
5 Sm 0.253 0.253 0.506
6 Sm 0.253 0.506 0.253
7 Sm 0.253 0.747 0.000
8 Sm 0.494 0.747 0.747
9 Sm 0.506 0.253 0.253
10 Sm 0.747 0.000 0.253
11 Sm 0.747 0.253 0.000
12 Sm 0.747 0.494 0.747
13 Sm 0.747 0.747 0.494
14 Dy 0.000 0.000 0.500
15 Dy 0.000 0.500 0.000
16 Dy 0.000 0.500 0.500
17 Dy 0.500 0.000 0.000
18 Dy 0.500 0.000 0.500
19 Dy 0.500 0.500 0.000
20 Dy 0.500 0.500 0.500

Properties
Total energy: -4.0106 eV/atom
Volume: 37.731 Å³/atom
N(E_F): 24.94 states/eV/cell
Formation enthalpy at 0 K: 0.67 eV/atom
ρ: 6.79 g/cm3
Energy relative to the lowest polymorph listed for this composition: 49.0 kJ per mole of atoms



The following is a DFT calculation (PBE-GGA) of a geometry-optimized EuZrTl2 structure.

a b c (Å): 10.580 10.580 10.580
angles (deg): 19.00 19.00 19.00
Positions (direct):
1 Eu 0.000 0.000 0.000
2 Zr 0.500 0.500 0.500
3 Tl 0.245 0.245 0.245
4 Tl 0.755 0.755 0.755

Properties
Total energy: -5.9325 eV/atom
Volume: 27.443 Å³/atom
N(E_F): 4.02 states/eV/cell
Formation enthalpy at 0 K: -0.04 eV/atom
ρ: 9.86 g/cm3
Energy relative to the lowest polymorph listed for this composition: 13.4 kJ per mole of atoms